(1)
{"formula": "Zn3PtAu", "functional": "PBE-GGA", "state": "optimized geometry", "magnetic_moment_mub_per_atom": 0.000, "dft_energy_ev_per_atom": -2.85, "delta_e_f_ev_per_atom": -0.22, "dos_at_fermi_per_ev_cell": 2.747, "cell": [[4.1055, 0.0000, 0.0000], [0.0000, 5.3914, 0.0000], [0.0000, 0.0000, 7.4053]], "species": ["Zn", "Zn", "Zn", "Zn", "Zn", "Zn", "Pt", "Pt", "Au", "Au"], "frac_coords": [[0.2500, 0.0051, 0.2371], [0.2500, 0.4949, 0.2371], [0.2500, 0.7500, 0.5724], [0.7500, 0.2500, 0.4276], [0.7500, 0.5051, 0.7629], [0.7500, 0.9949, 0.7629], [0.2500, 0.2500, 0.6388], [0.7500, 0.7500, 0.3612], [0.2500, 0.7500, 0.9297], [0.7500, 0.2500, 0.0703]]}

=====

(2)
{"formula": "Zn6PtAu3", "functional": "PBE-GGA", "state": "optimized geometry", "magnetic_moment_mub_per_atom": 0.000, "dft_energy_ev_per_atom": -2.60, "delta_e_f_ev_per_atom": -0.24, "dos_at_fermi_per_ev_cell": 6.119, "cell": [[7.4845, 0.0000, 0.0000], [0.0000, 4.5330, 0.0000], [-3.4571, 0.0000, 9.2615]], "species": ["Zn", "Zn", "Zn", "Zn", "Zn", "Zn", "Zn", "Zn", "Zn", "Zn", "Zn", "Zn", "Pt", "Pt", "Au", "Au", "Au", "Au", "Au", "Au"], "frac_coords": [[0.0026, 0.2500, 0.3238], [0.0037, 0.2500, 0.8380], [0.2007, 0.2500, 0.1407], [0.2282, 0.7500, 0.4774], [0.3930, 0.2500, 0.9294], [0.4224, 0.7500, 0.2890], [0.5776, 0.2500, 0.7110], [0.6070, 0.7500, 0.0706], [0.7718, 0.2500, 0.5226], [0.7993, 0.7500, 0.8593], [0.9963, 0.7500, 0.1620], [0.9974, 0.7500, 0.6762], [0.3796, 0.2500, 0.4232], [0.6204, 0.7500, 0.5768], [0.1631, 0.2500, 0.6258], [0.2049, 0.7500, 0.9849], [0.4093, 0.7500, 0.7764], [0.5907, 0.2500, 0.2236], [0.7951, 0.2500, 0.0151], [0.8369, 0.7500, 0.3742]]}

=====

(3)
{"formula": "Zn2Pt9Au", "functional": "PBE-GGA", "state": "optimized geometry", "magnetic_moment_mub_per_atom": 0.000, "dft_energy_ev_per_atom": -5.22, "delta_e_f_ev_per_atom": -0.20, "dos_at_fermi_per_ev_cell": 13.929, "cell": [[3.9504, 0.0000, 0.0000], [0.0000, 3.9504, 0.0000], [0.0000, 0.0000, 11.9387]], "species": ["Zn", "Zn", "Pt", "Pt", "Pt", "Pt", "Pt", "Pt", "Pt", "Pt", "Pt", "Au"], "frac_coords": [[0.0000, 0.0000, 0.1644], [0.0000, 0.0000, 0.8356], [0.0000, 0.5000, 0.0000], [0.0000, 0.5000, 0.3255], [0.0000, 0.5000, 0.6745], [0.5000, 0.0000, 0.0000], [0.5000, 0.0000, 0.3255], [0.5000, 0.0000, 0.6745], [0.5000, 0.5000, 0.1622], [0.5000, 0.5000, 0.5000], [0.5000, 0.5000, 0.8378], [0.0000, 0.0000, 0.5000]]}

=====

(4)
{"formula": "Zn2PtAu3", "functional": "PBE-GGA", "state": "optimized geometry", "magnetic_moment_mub_per_atom": 0.000, "dft_energy_ev_per_atom": -3.26, "delta_e_f_ev_per_atom": -0.19, "dos_at_fermi_per_ev_cell": 3.560, "cell": [[4.7489, 0.0000, 0.0000], [1.6387, 6.4204, 0.0000], [0.4411, 2.4544, 6.5049]], "species": ["Zn", "Zn", "Zn", "Zn", "Pt", "Pt", "Au", "Au", "Au", "Au", "Au", "Au"], "frac_coords": [[0.0611, 0.1174, 0.3083], [0.3133, 0.8686, 0.0458], [0.6867, 0.1314, 0.9542], [0.9389, 0.8826, 0.6917], [0.3742, 0.0982, 0.6463], [0.6258, 0.9018, 0.3537], [0.1126, 0.3417, 0.8992], [0.2045, 0.6354, 0.4552], [0.4762, 0.3697, 0.2111], [0.5238, 0.6303, 0.7889], [0.7955, 0.3646, 0.5448], [0.8874, 0.6583, 0.1008]]}